No. 1
Below is Sr2Sm2Mg15 after structural relaxation, with properties calculated at the PBE-GGA level.

Values from the calculation:
The calculation puts the formation energy at -0.0248 eV/atom.

Geometry as CIF:
```
data_Sr2Sm2Mg15
_cell_length_a 10.7337
_cell_length_b 10.7337
_cell_length_c 15.7173
_cell_angle_alpha 90.00
_cell_angle_beta 90.00
_cell_angle_gamma 120.00
_space_group_name_H-M_alt 'R -3 m'
_space_group_IT_number 166
_space_group_name_Hall '-R 3 2"'
loop_
_atom_site_label
_atom_site_type_symbol
_atom_site_fract_x
_atom_site_fract_y
_atom_site_fract_z
_atom_site_occupancy
Sr1 Sr 0.0000 0.0000 0.1594 1
Sm1 Sm 0.0000 0.0000 0.4056 1
Mg1 Mg 0.0000 0.2959 0.5000 1
Mg2 Mg 0.0000 0.5000 0.0000 1
Mg3 Mg 0.0022 0.5011 0.6503 1
```

---

No. 2
Below is SrSm2Mg after structural relaxation, with properties calculated at the PBE-GGA level.

Values from the calculation:
As for the polymorph energy (0 for the lowest one): 95.1 meV/atom. The calculation puts the formation energy at 0.1444 eV/atom.

Geometry as CIF:
```
data_SrSm2Mg
_cell_length_a 5.094
_cell_length_b 5.094
_cell_length_c 5.316
_cell_angle_alpha 90.00
_cell_angle_beta 90.00
_cell_angle_gamma 90.00
_space_group_name_H-M_alt 'P 4/m m m'
_space_group_IT_number 123
_space_group_name_Hall '-P 4 2'
loop_
_atom_site_label
_atom_site_type_symbol
_atom_site_fract_x
_atom_site_fract_y
_atom_site_fract_z
_atom_site_occupancy
Sr1 Sr 0.000 0.000 0.000 1
Sm1 Sm 0.000 0.500 0.500 1
Mg1 Mg 0.500 0.500 0.000 1
```

---

No. 3
Below is SrSmMg4 after structural relaxation, with properties calculated at the PBE-GGA level.

Values from the calculation:
The calculation puts the formation energy at -0.0711 eV/atom.

Geometry as CIF:
```
data_SrSmMg4
_cell_length_a 8.839
_cell_length_b 8.839
_cell_length_c 8.839
_cell_angle_alpha 90.00
_cell_angle_beta 90.00
_cell_angle_gamma 90.00
_space_group_name_H-M_alt 'F -4 3 m'
_space_group_IT_number 216
_space_group_name_Hall 'F -4 2 3'
loop_
_atom_site_label
_atom_site_type_symbol
_atom_site_fract_x
_atom_site_fract_y
_atom_site_fract_z
_atom_site_occupancy
Sr1 Sr 0.000 0.000 0.000 1
Sm1 Sm 0.250 0.250 0.750 1
Mg1 Mg 0.124 0.124 0.376 1
```

---

No. 4
Below is SrSm2Mg after structural relaxation, with properties calculated at the PBE-GGA level.

Values from the calculation:
As for the polymorph energy (0 for the lowest one): 200.0 meV/atom. The calculation puts the formation energy at 0.2493 eV/atom.

Geometry as CIF:
```
data_SrSm2Mg
_cell_length_a 3.6241
_cell_length_b 3.6241
_cell_length_c 37.8585
_cell_angle_alpha 90.00
_cell_angle_beta 90.00
_cell_angle_gamma 120.00
_space_group_name_H-M_alt 'R -3 m'
_space_group_IT_number 166
_space_group_name_Hall '-R 3 2"'
loop_
_atom_site_label
_atom_site_type_symbol
_atom_site_fract_x
_atom_site_fract_y
_atom_site_fract_z
_atom_site_occupancy
Sr1 Sr 0.0000 0.0000 0.0000 1
Sm1 Sm 0.0000 0.0000 0.0967 1
Mg1 Mg 0.0000 0.0000 0.5000 1
```

---

No. 5
Below is SrSmMg2 after structural relaxation, with properties calculated at the PBE-GGA level.

Values from the calculation:
As for the polymorph energy (0 for the lowest one): 0.0 meV/atom. The calculation puts the formation energy at -0.0568 eV/atom.

Geometry as CIF:
```
data_SrSmMg2
_cell_length_a 4.027
_cell_length_b 4.027
_cell_length_c 7.965
_cell_angle_alpha 90.00
_cell_angle_beta 90.00
_cell_angle_gamma 90.00
_space_group_name_H-M_alt 'P 4/m m m'
_space_group_IT_number 123
_space_group_name_Hall '-P 4 2'
loop_
_atom_site_label
_atom_site_type_symbol
_atom_site_fract_x
_atom_site_fract_y
_atom_site_fract_z
_atom_site_occupancy
Sr1 Sr 0.000 0.000 0.000 1
Sm1 Sm 0.000 0.000 0.500 1
Mg1 Mg 0.500 0.500 0.281 1
```

---

No. 6
Below is SrSmMg2 after structural relaxation, with properties calculated at the PBE-GGA level.

Values from the calculation:
As for the polymorph energy (0 for the lowest one): 32.9 meV/atom. The calculation puts the formation energy at -0.0240 eV/atom.

Geometry as CIF:
```
data_SrSmMg2
_cell_length_a 8.013
_cell_length_b 8.013
_cell_length_c 8.013
_cell_angle_alpha 90.00
_cell_angle_beta 90.00
_cell_angle_gamma 90.00
_space_group_name_H-M_alt 'F m -3 m'
_space_group_IT_number 225
_space_group_name_Hall '-F 4 2 3'
loop_
_atom_site_label
_atom_site_type_symbol
_atom_site_fract_x
_atom_site_fract_y
_atom_site_fract_z
_atom_site_occupancy
Sr1 Sr 0.000 0.000 0.000 1
Sm1 Sm 0.000 0.000 0.500 1
Mg1 Mg 0.250 0.250 0.250 1
```